First-principles (PBE with a Hubbard U) data for an optimized crystal structure of Be2CoBiO, as listed in Alexandria.

Structure (CIF):
```
data_Be2CoBiO
_chemical_formula_sum 'Be2 Co1 Bi1 O1'
_cell_length_a 4.746
_cell_length_b 4.746
_cell_length_c 4.385
_cell_angle_alpha 90.00
_cell_angle_beta 90.00
_cell_angle_gamma 90.00
_symmetry_space_group_name_H-M 'P 4/m m m'
_symmetry_Int_Tables_number 123
_symmetry_space_group_name_Hall '-P 4 2'
loop_
_atom_site_label
_atom_site_type_symbol
_atom_site_fract_x
_atom_site_fract_y
_atom_site_fract_z
_atom_site_occupancy
Be1 Be 0.000 0.500 0.000 1
Co1 Co 0.000 0.000 0.500 1
Bi1 Bi 0.500 0.500 0.000 1
O1 O 0.500 0.500 0.500 1
```

Results
Its calculated volume is 19.8 Å³/atom. Its total DFT energy (no corrections) is -15.6 eV per cell.